[1]
La11Zn9Ag4, relaxed, DFT PBE; E_form = -6.36 eV/f.u.; VASP energy = -3.4765 eV per atom
1.0
7.407 -10.979 0.000
7.407 10.979 0.000
0.000 0.000 3.878
La Zn Ag
11 9 4
direct
0.000 0.000 0.000
0.053 0.410 0.000
0.173 0.827 0.000
0.259 0.259 0.000
0.363 0.637 0.000
0.410 0.053 0.000
0.590 0.947 0.000
0.637 0.363 0.000
0.741 0.741 0.000
0.827 0.173 0.000
0.947 0.590 0.000
0.050 0.210 0.500
0.161 0.627 0.500
0.210 0.050 0.500
0.373 0.839 0.500
0.500 0.500 0.500
0.627 0.161 0.500
0.790 0.950 0.500
0.839 0.373 0.500
0.950 0.790 0.500
0.253 0.442 0.500
0.442 0.253 0.500
0.558 0.747 0.500
0.747 0.558 0.500

[2]
LaZnAg2, relaxed, DFT PBE; E_form = -0.90 eV/f.u.; VASP energy = -3.1999 eV per atom
1.0
4.095 -2.362 0.000
4.095 2.362 0.000
-2.711 0.000 4.719
La Zn Ag
1 1 2
direct
0.000 0.000 0.000
0.781 0.781 0.344
0.219 0.219 0.658
0.479 0.479 0.437

[3]
La2Zn3Ag6, relaxed, DFT PBE; E_form = -2.03 eV/f.u.; VASP energy = -2.9834 eV per atom
1.0
7.900 0.000 0.000
-3.950 6.841 0.000
0.000 0.000 4.420
La Zn Ag
2 3 6
direct
0.333 0.667 0.000
0.667 0.333 0.000
0.000 0.612 0.500
0.388 0.388 0.500
0.612 0.000 0.500
0.000 0.280 0.500
0.000 0.794 0.000
0.206 0.206 0.000
0.280 0.000 0.500
0.720 0.720 0.500
0.794 0.000 0.000

[4]
LaZn2Ag3, relaxed, DFT PBE; E_form = -1.24 eV/f.u.; VASP energy = -2.8780 eV per atom; energy relative to the lowest polymorph listed for this composition = 0.0 meV/atom
1.0
5.064 -4.560 0.000
5.064 4.560 0.000
0.000 0.000 5.388
La Zn Ag
2 4 6
direct
0.178 0.822 0.750
0.822 0.178 0.250
0.269 0.269 0.000
0.269 0.269 0.500
0.731 0.731 0.000
0.731 0.731 0.500
0.047 0.593 0.250
0.407 0.953 0.250
0.455 0.545 0.250
0.545 0.455 0.750
0.593 0.047 0.750
0.953 0.407 0.750

[5]
LaZn2Ag, relaxed, DFT PBE; E_form = -1.08 eV/f.u.; VASP energy = -2.8517 eV per atom
1.0
0.000 3.482 3.482
3.482 0.000 3.482
3.482 3.482 0.000
La Zn Ag
1 2 1
direct
0.000 0.000 0.000
0.250 0.250 0.250
0.750 0.750 0.750
0.500 0.500 0.500

[6]
La3ZnAg, relaxed, DFT PBE; E_form = -1.09 eV/f.u.; VASP energy = -3.9992 eV per atom; energy relative to the lowest polymorph listed for this composition = 0.0 meV/atom
1.0
2.698 -10.008 0.000
2.698 10.008 0.000
0.000 0.000 5.405
La Zn Ag
6 2 2
direct
0.062 0.938 0.750
0.249 0.751 0.750
0.434 0.566 0.750
0.566 0.434 0.250
0.751 0.249 0.250
0.938 0.062 0.250
0.153 0.847 0.250
0.847 0.153 0.750
0.345 0.655 0.250
0.655 0.345 0.750